(1)
# HfBeCu2P (PBE-GGA, optimized geometry)
data_HfBeCu2P
_chemical_formula_sum 'Hf1 Be1 Cu2 P1'
_symmetry_space_group_name_H-M 'P 1'
_symmetry_Int_Tables_number 1
_symmetry_space_group_name_Hall 'P 1'
_cell_length_a 4.006
_cell_length_b 4.006
_cell_length_c 4.387
_cell_angle_alpha 90.00
_cell_angle_beta 90.00
_cell_angle_gamma 90.00
loop_
_atom_site_label
_atom_site_type_symbol
_atom_site_fract_x
_atom_site_fract_y
_atom_site_fract_z
Cu1 Cu 0.500 0.000 0.000
Be1 Be 0.000 0.000 0.000
P1 P 0.000 0.000 0.500
Cu2 Cu 0.000 0.500 0.000
Hf1 Hf 0.500 0.500 0.500
# Space-group type   P4/mmm (123)
# Calculated formation energy   149 meV/atom
# Crystal system   tetragonal

=====

(2)
# ZnTeRuN2 (PBE-GGA, optimized geometry)
data_ZnTeRuN2
_chemical_formula_sum 'Zn1 Te1 Ru1 N2'
_symmetry_space_group_name_H-M 'P 1'
_symmetry_Int_Tables_number 1
_symmetry_space_group_name_Hall 'P 1'
_cell_length_a 3.835
_cell_length_b 3.835
_cell_length_c 5.768
_cell_angle_alpha 90.00
_cell_angle_beta 90.00
_cell_angle_gamma 90.00
loop_
_atom_site_label
_atom_site_type_symbol
_atom_site_fract_x
_atom_site_fract_y
_atom_site_fract_z
Zn1 Zn 0.500 0.500 0.500
N1 N 0.000 0.500 0.000
N2 N 0.500 0.000 0.000
Ru1 Ru 0.000 0.000 0.000
Te1 Te 0.000 0.000 0.500
# Space-group type   P4/mmm (123)
# Energy relative to the lowest polymorph listed for this composition   0.0 kJ/mol of atoms
# Raw formation energy   681 meV/atom
# Crystal system   tetragonal

=====

(3)
# Sr3ZrW (PBE-GGA, optimized geometry)
data_Sr3ZrW
_chemical_formula_sum 'Sr3 Zr1 W1'
_symmetry_space_group_name_H-M 'P 1'
_symmetry_Int_Tables_number 1
_symmetry_space_group_name_Hall 'P 1'
_cell_length_a 5.749
_cell_length_b 5.749
_cell_length_c 5.749
_cell_angle_alpha 90.00
_cell_angle_beta 90.00
_cell_angle_gamma 90.00
loop_
_atom_site_label
_atom_site_type_symbol
_atom_site_fract_x
_atom_site_fract_y
_atom_site_fract_z
Sr1 Sr 0.500 0.000 0.000
W1 W 0.500 0.500 0.500
Sr2 Sr 0.000 0.000 0.500
Sr3 Sr 0.000 0.500 0.000
Zr1 Zr 0.000 0.000 0.000
# Space-group type   Pm-3m (221)
# Energy relative to the lowest polymorph listed for this composition   58.8 kJ/mol of atoms
# Calculated formation energy   2187 meV/atom
# Crystal system   cubic

=====

(4)
# Nd4PbN (PBE-GGA, optimized geometry)
data_Nd4PbN
_chemical_formula_sum 'Nd8 Pb2 N2'
_symmetry_space_group_name_H-M 'P 1'
_symmetry_Int_Tables_number 1
_symmetry_space_group_name_Hall 'P 1'
_cell_length_a 5.037
_cell_length_b 6.968
_cell_length_c 12.223
_cell_angle_alpha 90.00
_cell_angle_beta 128.20
_cell_angle_gamma 90.00
loop_
_atom_site_label
_atom_site_type_symbol
_atom_site_fract_x
_atom_site_fract_y
_atom_site_fract_z
Nd1 Nd 0.227 0.750 0.818
Nd2 Nd 0.000 0.000 0.000
Nd3 Nd 0.451 0.004 0.634
Nd4 Nd 0.549 0.504 0.366
N1 N 0.704 0.750 0.803
N2 N 0.296 0.250 0.197
Nd5 Nd 0.773 0.250 0.182
Nd6 Nd 0.549 0.996 0.366
Nd7 Nd 0.451 0.496 0.634
Pb1 Pb 0.784 0.750 0.189
Pb2 Pb 0.216 0.250 0.811
Nd8 Nd 0.000 0.500 0.000
# Space-group type   Cmcm (63)
# Raw formation energy   -628 meV/atom
# Crystal system   orthorhombic

=====

(5)
# Hf2Zr2Mn (PBE-GGA, optimized geometry)
data_Hf2Zr2Mn
_chemical_formula_sum 'Hf4 Zr4 Mn2'
_symmetry_space_group_name_H-M 'P 1'
_symmetry_Int_Tables_number 1
_symmetry_space_group_name_Hall 'P 1'
_cell_length_a 6.473
_cell_length_b 6.473
_cell_length_c 5.038
_cell_angle_alpha 90.00
_cell_angle_beta 90.00
_cell_angle_gamma 90.00
loop_
_atom_site_label
_atom_site_type_symbol
_atom_site_fract_x
_atom_site_fract_y
_atom_site_fract_z
Mn1 Mn 0.500 0.500 0.000
Hf1 Hf 0.341 0.841 0.000
Mn2 Mn 0.000 0.000 0.000
Zr1 Zr 0.339 0.161 0.500
Hf2 Hf 0.659 0.159 0.000
Zr2 Zr 0.661 0.839 0.500
Zr3 Zr 0.839 0.339 0.500
Hf3 Hf 0.841 0.659 0.000
Zr4 Zr 0.161 0.661 0.500
Hf4 Hf 0.159 0.341 0.000
# Space-group type   P4/mbm (127)
# Energy relative to the lowest polymorph listed for this composition   0.0 kJ/mol of atoms
# Calculated formation energy   208 meV/atom
# Crystal system   tetragonal

=====

(6)
# Nd2Sm4N (PBE-GGA, optimized geometry)
data_Nd2Sm4N
_chemical_formula_sum 'Nd2 Sm4 N1'
_symmetry_space_group_name_H-M 'P 1'
_symmetry_Int_Tables_number 1
_symmetry_space_group_name_Hall 'P 1'
_cell_length_a 4.935
_cell_length_b 4.935
_cell_length_c 9.606
_cell_angle_alpha 75.11
_cell_angle_beta 75.11
_cell_angle_gamma 90.00
loop_
_atom_site_label
_atom_site_type_symbol
_atom_site_fract_x
_atom_site_fract_y
_atom_site_fract_z
Sm1 Sm 0.133 0.133 0.734
Nd1 Nd 0.671 0.671 0.659
Nd2 Nd 0.329 0.329 0.341
Sm2 Sm 0.000 0.500 0.000
N1 N 0.000 0.000 0.000
Sm3 Sm 0.500 0.000 0.000
Sm4 Sm 0.867 0.867 0.266
# Space-group type   I4/mmm (139)
# Raw formation energy   -246 meV/atom
# Crystal system   tetragonal